AcLaTe2O: optimized geometry, GGA-PBE.

Cell: 4.4525 4.4525 16.2776 Å, 90.00 90.00 90.00°
With the nearest neighbours (Å) after each atom.
Atoms (fractional coordinates):
Ac 0.5000 0.0000 0.5727  4 O 2.52
Ac 0.0000 0.5000 0.4273  4 O 2.52
La 0.5000 0.0000 0.1283  5 Te 2.98-3.22
La 0.0000 0.5000 0.8717  5 Te 2.98-3.22
Te 0.0000 0.5000 0.6884  1 La 2.98
Te 0.0000 0.5000 0.0863  5 La 3.22-3.49
Te 0.5000 0.0000 0.9137  5 La 3.22-3.49
Te 0.5000 0.0000 0.3116  1 La 2.98
O 0.0000 0.0000 0.5000  4 Ac 2.52
O 0.5000 0.5000 0.5000  4 Ac 2.52

Values from the calculation:
DFT total energy in eV for the cell shown: -62.518
Spin magnetization in μB/f.u.: 0.0
Symmetry: No. 129